1.
Ta3ReSb | the Alexandria database | GGA-PBE | optimized geometry; uncorrected formation energy = 2.317 eV/atom; symmetry = No. 221; total moment = 0.00 μB/cell; E = -8.109 eV per atom
1.0
4.887 0.000 0.000
0.000 4.887 0.000
0.000 0.000 4.887
Ta Re Sb
3 1 1
direct
0.000 0.000 0.500 Ta
0.000 0.500 0.000 Ta
0.500 0.000 0.000 Ta
0.500 0.500 0.500 Re
0.000 0.000 0.000 Sb

---

2.
TaReSb | the Alexandria database | GGA-PBE | optimized geometry; uncorrected formation energy = 0.266 eV/atom; symmetry = No. 156; total moment = 0.00 μB/cell; E = -9.208 eV per atom
1.0
4.560 0.000 0.000
-2.280 3.949 0.000
0.000 0.000 3.008
Ta Re Sb
1 1 1
direct
0.000 0.000 0.000 Ta
0.667 0.333 0.502 Re
0.333 0.667 0.501 Sb

---

3.
TaRe2Sb | the Alexandria database | GGA-PBE | optimized geometry; uncorrected formation energy = 0.332 eV/atom; symmetry = No. 119; total moment = 0.00 μB/cell; E = -9.886 eV per atom
1.0
-1.952 1.952 4.438
1.952 -1.952 4.438
1.952 1.952 -4.438
Ta Re Sb
1 2 1
direct
0.000 0.000 0.000 Ta
0.250 0.750 0.500 Re
0.500 0.500 0.000 Re
0.750 0.250 0.500 Sb

---

4.
TaRe2Sb | the Alexandria database | GGA-PBE | optimized geometry; uncorrected formation energy = 0.169 eV/atom; symmetry = No. 123; total moment = 0.00 μB/cell; E = -10.049 eV per atom
1.0
4.536 0.000 0.000
0.000 4.536 0.000
0.000 0.000 3.274
Ta Re Sb
1 2 1
direct
0.000 0.000 0.000 Ta
0.000 0.500 0.500 Re
0.500 0.000 0.500 Re
0.500 0.500 0.000 Sb

---

5.
Ta4ReSb | the Alexandria database | GGA-PBE | optimized geometry; uncorrected formation energy = 0.435 eV/atom; symmetry = No. 216; total moment = 0.00 μB/cell; E = -10.228 eV per atom
1.0
0.000 3.835 3.835
3.835 0.000 3.835
3.835 3.835 0.000
Ta Re Sb
4 1 1
direct
0.125 0.125 0.125 Ta
0.125 0.125 0.625 Ta
0.125 0.625 0.125 Ta
0.625 0.125 0.125 Ta
0.750 0.750 0.750 Re
0.500 0.500 0.500 Sb

---

6.
TaReSb | the Alexandria database | GGA-PBE | optimized geometry; uncorrected formation energy = 0.324 eV/atom; symmetry = No. 156; total moment = 0.00 μB/cell; E = -9.151 eV per atom
1.0
3.189 0.000 0.000
-1.594 2.762 0.000
0.000 0.000 6.642
Ta Re Sb
1 1 1
direct
0.000 0.000 0.000 Ta
0.667 0.333 0.272 Re
0.333 0.667 0.628 Sb